[1]
DFT (PBE) results for crystalline Sm3Sn4Rh2 at its relaxed geometry.

POSCAR file:
```
Sm3Sn4Rh2
1.0
4.4281 0.0000 1.3080
1.7858 5.5240 2.1036
-0.2948 0.6784 9.1474
Sm Sn Rh
3 4 2
Direct
0.3672 0.5795 0.6862
0.0000 0.0000 0.0000
0.6328 0.4205 0.3138
0.2955 0.3315 0.0775
0.7045 0.6685 0.9225
0.0847 0.2214 0.6093
0.9153 0.7786 0.3907
0.3060 0.0096 0.3785
0.6940 0.9904 0.6215
```

As for the total magnetization: 0.00 μB/cell. For the calculated density, the calculation gives 8.50 g/cm3. For the formation energy, the calculation gives -0.7615 eV per atom.

---

[2]
DFT (PBE) results for crystalline Y2ZnCr at its relaxed geometry.

POSCAR file:
```
Y2ZnCr
1.0
0.0000 3.4920 3.4920
3.4920 0.0000 3.4920
3.4920 3.4920 0.0000
Y Cr Zn
2 1 1
Direct
0.2500 0.2500 0.2500
0.7500 0.7500 0.7500
0.0000 0.0000 0.0000
0.5000 0.5000 0.5000
```

As for the total magnetization: 0.00 μB/cell. The distance to the lowest polymorph of the same formula comes out at 254 meV per atom. For the calculated density, the calculation gives 5.76 g/cm3. For the formation energy, the calculation gives 0.2682 eV per atom.